[1]
DFT (PBE-GGA) results for an optimized crystal structure of Al2SiTc.

Calculated values
Its mass density is 5.26 g/cm³. The formation energy from raw total energies comes out at -0.28 eV per atom.

a = 3.2342 Å, b = 3.2342 Å, c = 5.4318 Å
α = 90.00°, β = 90.00°, γ = 90.00°
Closest atoms and distances in Å follow each position.
Positions (direct):
Si1 0.0000 0.0000 0.5103  4 Tc 2.60, 6 Al 2.63-2.80
Al1 0.0000 0.0000 0.9952  2 Si 2.63-2.80, 4 Tc 2.68, 4 Al 2.70
Al2 0.5000 0.5000 0.2579  2 Tc 2.60-2.83, 4 Si 2.67, 4 Al 2.70
Tc1 0.5000 0.5000 0.7365  4 Si 2.60, 6 Al 2.60-2.83

***

[2]
DFT (PBE-GGA) results for an optimized crystal structure of AlSiTc2.

Calculated values
Its mass density is 7.30 g/cm³. The formation energy from raw total energies comes out at -0.20 eV per atom. The value obtained for the energy above the most stable polymorph in this dataset is 205 meV per atom.

a = 4.3983 Å, b = 4.3983 Å, c = 4.8421 Å
α = 76.90°, β = 76.90°, γ = 38.94°
Closest atoms and distances in Å follow each position.
Positions (direct):
Tc1 0.5143 0.5143 0.4831  3 Si 2.49-2.70, 3 Al 2.59-2.69, 2 Tc 2.75
Tc2 0.9857 0.9857 0.0169  3 Si 2.49-2.70, 3 Al 2.59-2.69, 2 Tc 2.75
Al1 0.7500 0.7500 0.7500  6 Tc 2.59-2.69, 4 Si 2.83
Si1 0.2500 0.2500 0.2500  6 Tc 2.49-2.70